[1]
VASP calculation (PBE) on an optimized crystal structure of CsRu2Br.

Cell and atoms, written as POSCAR:
```
CsRu2Br
1.0
0.0000 3.5104 3.5104
3.5104 0.0000 3.5104
3.5104 3.5104 0.0000
Cs Ru Br
1 2 1
Cartesian
0.0000 0.0000 0.0000
1.7552 1.7552 1.7552
5.2656 5.2656 5.2656
3.5104 3.5104 3.5104
```

Results
Fermi-level density of states: 0.950 states/eV/atom
total magnetization: 4.1 μB/f.u.
E: -0.26615 Ry/atom
energy relative to the elements, uncorrected: 1.65 eV/atom

[2]
VASP calculation (PBE) on an optimized crystal structure of CsRu2Br8.

Cell and atoms, written as POSCAR:
```
CsRu2Br8
1.0
7.3028 0.0000 0.0000
0.0000 5.1138 0.0000
-1.0053 0.0000 10.5791
Cs Ru Br
1 2 8
Cartesian
0.0000 0.0000 0.0000
2.6300 2.5569 7.1266
3.6675 2.5569 3.4526
0.4024 2.5569 8.1594
1.5663 2.5569 4.8552
2.3608 2.5569 1.3185
2.8955 0.0000 7.4900
3.4019 0.0000 3.0891
3.9366 2.5569 9.2606
4.7311 2.5569 5.7240
5.8951 2.5569 2.4197
```

Results
Fermi-level density of states: 0.685 states/eV/atom
total magnetization: 3.7 μB/f.u.
E: -0.25181 Ry/atom
energy relative to the elements, uncorrected: -0.45 eV/atom

[3]
VASP calculation (PBE) on an optimized crystal structure of CsRuS2Br.

Cell and atoms, written as POSCAR:
```
CsRuS2Br
1.0
4.7001 0.0000 0.0000
0.0000 4.7001 0.0000
0.0000 0.0000 5.7061
Cs Ru S Br
1 1 2 1
Cartesian
0.0000 0.0000 0.0000
2.3501 2.3501 2.8530
0.0000 2.3501 2.8530
2.3501 0.0000 2.8530
2.3501 2.3501 0.0000
```

Results
Fermi-level density of states: 0.946 states/eV/atom
total magnetization: 0.0 μB/f.u.
E: -0.32185 Ry/atom
energy relative to the elements, uncorrected: -0.37 eV/atom

[4]
VASP calculation (PBE) on an optimized crystal structure of CsRuSe2Br.

Cell and atoms, written as POSCAR:
```
CsRuSe2Br
1.0
4.9268 0.0000 0.0000
0.0000 4.9268 0.0000
0.0000 0.0000 5.7615
Cs Ru Se Br
1 1 2 1
Cartesian
0.0000 0.0000 0.0000
2.4634 2.4634 2.8808
0.0000 2.4634 2.8808
2.4634 0.0000 2.8808
2.4634 2.4634 0.0000
```

Results
E above lowest polymorph: 0 meV/atom
Fermi-level density of states: 0.958 states/eV/atom
total magnetization: 1.0 μB/f.u.
E: -0.30190 Ry/atom
energy relative to the elements, uncorrected: -0.35 eV/atom

[5]
VASP calculation (PBE) on an optimized crystal structure of CsRuSe2Br.

Cell and atoms, written as POSCAR:
```
CsRuSe2Br
1.0
5.6920 0.0000 0.0000
0.0000 5.6920 0.0000
0.0000 0.0000 6.4520
Cs Ru Se Br
1 1 2 1
Cartesian
0.0000 0.0000 0.0000
2.8460 2.8460 3.2260
0.0000 2.8460 0.0000
2.8460 0.0000 0.0000
0.0000 0.0000 3.2260
```

Results
E above lowest polymorph: 1855 meV/atom
Fermi-level density of states: 1.417 states/eV/atom
total magnetization: 3.6 μB/f.u.
E: -0.16558 Ry/atom
energy relative to the elements, uncorrected: 1.50 eV/atom

[6]
VASP calculation (PBE) on an optimized crystal structure of Cs2SnRuBr6.

Cell and atoms, written as POSCAR:
```
Cs2SnRuBr6
1.0
0.0000 5.5185 5.5185
5.5185 0.0000 5.5185
5.5185 5.5185 0.0000
Cs Sn Ru Br
2 1 1 6
Cartesian
2.7592 2.7592 2.7592
8.2777 8.2777 8.2777
0.0000 0.0000 0.0000
5.5185 5.5185 5.5185
5.5185 5.5185 2.9375
5.5185 2.9375 5.5185
8.0994 5.5185 5.5185
2.9375 5.5185 5.5185
5.5185 8.0994 5.5185
5.5185 5.5185 8.0994
```

Results
Fermi-level density of states: 0.000 states/eV/atom
total magnetization: 0.0 μB/f.u.
E: -0.25216 Ry/atom
energy relative to the elements, uncorrected: -0.93 eV/atom

[7]
VASP calculation (PBE) on an optimized crystal structure of Cs2SrRuBr6.

Cell and atoms, written as POSCAR:
```
Cs2SrRuBr6
1.0
0.0000 5.5783 5.5783
5.5783 0.0000 5.5783
5.5783 5.5783 0.0000
Cs Sr Ru Br
2 1 1 6
Cartesian
2.7892 2.7892 2.7892
8.3675 8.3675 8.3675
0.0000 0.0000 0.0000
5.5783 5.5783 5.5783
5.5783 5.5783 3.0093
5.5783 3.0093 5.5783
8.1474 5.5783 5.5783
3.0093 5.5783 5.5783
5.5783 8.1474 5.5783
5.5783 5.5783 8.1474
```

Results
Fermi-level density of states: 0.000 states/eV/atom
total magnetization: 0.0 μB/f.u.
E: -0.26362 Ry/atom
energy relative to the elements, uncorrected: -1.32 eV/atom

[8]
VASP calculation (PBE) on an optimized crystal structure of Cs2TiRuBr.

Cell and atoms, written as POSCAR:
```
Cs2TiRuBr
1.0
6.8445 0.0000 0.0000
0.0000 6.8445 0.0000
0.0000 0.0000 4.4535
Cs Ti Ru Br
2 1 1 1
Cartesian
0.0000 3.4222 0.0000
3.4222 0.0000 0.0000
0.0000 0.0000 2.2267
0.0000 0.0000 0.0000
3.4222 3.4222 2.2267
```

Results
Fermi-level density of states: 0.702 states/eV/atom
total magnetization: 0.5 μB/f.u.
E: -0.28930 Ry/atom
energy relative to the elements, uncorrected: 0.17 eV/atom

[9]
VASP calculation (PBE) on an optimized crystal structure of Cs2YRuBr6.

Cell and atoms, written as POSCAR:
```
Cs2YRuBr6
1.0
-3.8798 3.8798 5.4793
3.8798 -3.8798 5.4793
3.8798 3.8798 -5.4793
Cs Y Ru Br
2 1 1 6
Cartesian
3.8798 0.0000 2.7397
0.0000 3.8798 2.7397
0.0000 0.0000 0.0000
0.0000 0.0000 5.4793
0.0000 0.0000 2.8159
1.9919 1.9919 0.0000
1.8879 -1.8879 5.4793
-1.8879 1.8879 5.4793
0.0000 0.0000 8.1427
1.8879 1.8879 5.4793
```

Results
Fermi-level density of states: 0.341 states/eV/atom
total magnetization: 1.0 μB/f.u.
E: -0.29235 Ry/atom
energy relative to the elements, uncorrected: -1.23 eV/atom

[10]
VASP calculation (PBE) on an optimized crystal structure of CsS4Br.

Cell and atoms, written as POSCAR:
```
CsS4Br
1.0
5.4783 0.0000 0.0000
-0.8396 6.2213 0.0000
-1.2868 -1.5082 6.2746
Cs S Br
1 4 1
Cartesian
0.0000 0.0000 0.0000
0.4222 0.9707 3.7890
1.2341 4.3883 3.3049
2.1178 0.3249 2.9697
2.9297 3.7425 2.4857
2.3193 3.1107 0.0000
```

Results
total magnetization: 0.0 μB/f.u.
E: -0.26217 Ry/atom
energy relative to the elements, uncorrected: -0.39 eV/atom

[11]
VASP calculation (PBE) on an optimized crystal structure of CsS2Br.

Cell and atoms, written as POSCAR:
```
CsS2Br
1.0
2.9299 1.6916 5.1469
-2.9299 1.6916 5.1469
0.0000 -3.3831 5.1469
Cs S Br
1 2 1
Cartesian
0.0000 0.0000 0.0000
0.0000 0.0000 5.2771
0.0000 0.0000 10.1635
0.0000 0.0000 7.7203
```

Results
E above lowest polymorph: 652 meV/atom
Fermi-level density of states: 1.095 states/eV/atom
total magnetization: 0.0 μB/f.u.
E: -0.20092 Ry/atom
energy relative to the elements, uncorrected: -0.04 eV/atom

[12]
VASP calculation (PBE) on an optimized crystal structure of Cs4SBr2.

Cell and atoms, written as POSCAR:
```
Cs4SBr2
1.0
-3.3015 3.3015 9.4560
3.3015 -3.3015 9.4560
3.3015 3.3015 -9.4560
Cs S Br
4 1 2
Cartesian
3.3015 0.0000 0.0000
0.0000 0.0000 3.2631
0.0000 3.3015 0.0000
0.0000 0.0000 15.6489
0.0000 0.0000 0.0000
0.0000 0.0000 6.8638
0.0000 0.0000 12.0482
```

Results
E above lowest polymorph: 68 meV/atom
total magnetization: 0.0 μB/f.u.
E: -0.21237 Ry/atom
energy relative to the elements, uncorrected: -1.33 eV/atom

[13]
VASP calculation (PBE) on an optimized crystal structure of Cs2SBr4.

Cell and atoms, written as POSCAR:
```
Cs2SBr4
1.0
-2.8434 2.8434 8.5677
2.8434 -2.8434 8.5677
2.8434 2.8434 -8.5677
Cs S Br
2 1 4
Cartesian
0.0000 0.0000 2.3071
0.0000 0.0000 14.8282
0.0000 0.0000 8.5677
2.8434 0.0000 0.0000
0.0000 0.0000 6.0398
0.0000 2.8434 0.0000
0.0000 0.0000 11.0956
```

Results
E above lowest polymorph: 78 meV/atom
Fermi-level density of states: 0.403 states/eV/atom
total magnetization: 0.0 μB/f.u.
E: -0.19976 Ry/atom
energy relative to the elements, uncorrected: -0.93 eV/atom

[14]
VASP calculation (PBE) on an optimized crystal structure of CsSBr.

Cell and atoms, written as POSCAR:
```
CsSBr
1.0
11.1382 0.0000 0.0000
0.0000 5.1581 0.0000
-0.6929 0.0000 10.3116
Cs S Br
4 4 4
Cartesian
1.6189 1.2785 3.9924
1.2724 1.3005 9.1482
9.1729 3.8576 1.1634
8.8264 3.8795 6.3191
4.7196 3.0861 5.7950
5.0661 4.6510 0.6393
5.3792 0.5071 9.6723
5.7256 2.0720 4.5165
1.6742 3.8632 1.4165
1.3278 3.8739 6.5723
9.1175 1.2841 3.7393
8.7710 1.2949 8.8951
```

Results
E above lowest polymorph: 0 meV/atom
total magnetization: 1.0 μB/f.u.
E: -0.23581 Ry/atom
energy relative to the elements, uncorrected: -0.99 eV/atom

[15]
VASP calculation (PBE) on an optimized crystal structure of Cs2SBr4.

Cell and atoms, written as POSCAR:
```
Cs2SBr4
1.0
-3.9815 3.9815 4.9840
3.9815 -3.9815 4.9840
3.9815 3.9815 -4.9840
Cs S Br
2 1 4
Cartesian
3.9815 0.0000 2.4920
0.0000 3.9815 2.4920
0.0000 0.0000 0.0000
1.7952 1.7952 0.0000
2.1864 -2.1864 4.9840
-2.1864 2.1864 4.9840
2.1864 2.1864 4.9840
```

Results
E above lowest polymorph: 0 meV/atom
Fermi-level density of states: 0.000 states/eV/atom
total magnetization: 0.0 μB/f.u.
E: -0.20547 Ry/atom
energy relative to the elements, uncorrected: -1.01 eV/atom

[16]
VASP calculation (PBE) on an optimized crystal structure of CsSBr6.

Cell and atoms, written as POSCAR:
```
CsSBr6
1.0
5.1632 2.9810 3.1259
-5.1632 2.9810 3.1259
0.0000 -5.9620 3.1259
Cs S Br
1 1 6
Cartesian
0.0000 0.0000 0.0000
0.0000 0.0000 4.6889
0.0000 -2.0280 3.2276
-1.7563 1.0140 3.2276
-1.7563 -1.0140 6.1502
1.7563 1.0140 3.2276
1.7563 -1.0140 6.1502
0.0000 2.0280 6.1502
```

Results
Fermi-level density of states: 1.838 states/eV/atom
total magnetization: 0.0 μB/f.u.
E: -0.16015 Ry/atom
energy relative to the elements, uncorrected: -0.30 eV/atom

[17]
VASP calculation (PBE) on an optimized crystal structure of Cs6SBr4.

Cell and atoms, written as POSCAR:
```
Cs6SBr4
1.0
7.2552 4.1888 5.9846
-7.2552 4.1888 5.9846
0.0000 -8.3776 5.9846
Cs S Br
12 2 8
Cartesian
-6.3179 -1.7237 10.0531
-1.6662 -6.3333 7.9006
-1.6662 -2.0443 7.0608
-4.6517 4.6097 7.9007
-0.9373 2.4651 7.0608
-2.6035 0.4209 10.8929
2.6035 -0.4209 7.0608
0.9373 -2.4651 10.8929
4.6517 -4.6097 10.0531
1.6662 2.0443 10.8930
1.6662 6.3333 10.0531
6.3179 1.7237 7.9006
0.0000 0.0000 0.0000
0.0000 0.0000 8.9769
-4.5017 0.5805 7.4807
0.0000 0.0000 4.4884
-2.7535 -3.6084 10.4730
1.7482 -4.1888 7.4807
-1.7482 4.1888 10.4730
2.7535 3.6084 7.4807
0.0000 0.0000 13.4653
4.5017 -0.5805 10.4730
```

Results
Fermi-level density of states: 0.000 states/eV/atom
total magnetization: 0.2 μB/f.u.
E: -0.21931 Ry/atom
energy relative to the elements, uncorrected: -1.53 eV/atom

[18]
VASP calculation (PBE) on an optimized crystal structure of CsSBr.

Cell and atoms, written as POSCAR:
```
CsSBr
1.0
5.7138 -2.8397 0.0000
5.7138 2.8397 0.0000
-4.3899 0.0000 8.8825
Cs S Br
2 2 2
Cartesian
-0.2677 0.0000 2.2819
7.3054 0.0000 6.6006
0.3664 0.0000 8.6512
6.6713 0.0000 0.2313
-0.5458 0.0000 5.9641
7.5835 0.0000 2.9184
```

Results
E above lowest polymorph: 47 meV/atom
Fermi-level density of states: 0.025 states/eV/atom
total magnetization: 0.0 μB/f.u.
E: -0.23234 Ry/atom
energy relative to the elements, uncorrected: -0.94 eV/atom

[19]
VASP calculation (PBE) on an optimized crystal structure of CsS2Br.

Cell and atoms, written as POSCAR:
```
CsS2Br
1.0
0.0000 4.0223 4.0223
4.0223 0.0000 4.0223
4.0223 4.0223 0.0000
Cs S Br
1 2 1
Cartesian
0.0000 0.0000 0.0000
2.0112 2.0112 2.0112
6.0335 6.0335 6.0335
4.0223 4.0223 4.0223
```

Results
E above lowest polymorph: 1087 meV/atom
Fermi-level density of states: 0.743 states/eV/atom
total magnetization: 4.0 μB/f.u.
E: -0.16892 Ry/atom
energy relative to the elements, uncorrected: 0.40 eV/atom

[20]
VASP calculation (PBE) on an optimized crystal structure of Cs2SBr.

Cell and atoms, written as POSCAR:
```
Cs2SBr
1.0
-3.9058 3.9058 8.6071
3.9058 -3.9058 8.6071
3.9058 3.9058 -8.6071
Cs S Br
4 2 2
Cartesian
5.8587 1.8543 -2.1518
1.8543 1.9529 2.1518
-1.9529 2.0514 6.4553
2.0514 1.9529 10.7588
0.0000 0.0000 0.0000
0.0000 3.9058 4.3035
3.9058 0.0000 4.3035
0.0000 0.0000 8.6071
```

Results
E above lowest polymorph: 96 meV/atom
Fermi-level density of states: 3.341 states/eV/atom
total magnetization: 1.0 μB/f.u.
E: -0.20913 Ry/atom
energy relative to the elements, uncorrected: -0.97 eV/atom